(1)
Compound: LaDyInPb
Source: Alexandria via LeMat-Bulk
Functional: PBE
Structure: relaxed

## Properties
Distance to the lowest polymorph of the same formula ... 31.5 meV/atom
Total magnetization ... 0.00 μB/f.u.
Space group ... F-43m (216)
Calculated formation energy ... -1.8 eV per formula unit

Geometry as CIF:
```
data_LaDyInPb
_chemical_formula_sum 'La1 Dy1 In1 Pb1'
_symmetry_space_group_name_H-M 'P 1'
_symmetry_Int_Tables_number 1
_symmetry_space_group_name_Hall 'P 1'
_cell_length_a 5.517
_cell_length_b 5.517
_cell_length_c 5.517
_cell_angle_alpha 60.00
_cell_angle_beta 60.00
_cell_angle_gamma 60.00
loop_
_atom_site_label
_atom_site_fract_x
_atom_site_fract_y
_atom_site_fract_z
_atom_site_occupancy
Pb1 0.750 0.750 0.750 1
La1 0.500 0.500 0.500 1
In1 0.250 0.250 0.250 1
Dy1 0.000 0.000 0.000 1
```



(2)
Compound: La3Pm6Dy2In
Source: Alexandria via LeMat-Bulk
Functional: PBE
Structure: relaxed

## Properties
Total magnetization ... 0.00 μB/f.u.
Space group ... C2/m (12)
Calculated formation energy ... -0.4 eV per formula unit

Geometry as CIF:
```
data_La3Pm6Dy2In
_chemical_formula_sum 'La3 Pm6 Dy2 In1'
_symmetry_space_group_name_H-M 'P 1'
_symmetry_Int_Tables_number 1
_symmetry_space_group_name_Hall 'P 1'
_cell_length_a 6.273
_cell_length_b 6.273
_cell_length_c 11.910
_cell_angle_alpha 95.13
_cell_angle_beta 95.13
_cell_angle_gamma 120.15
loop_
_atom_site_label
_atom_site_fract_x
_atom_site_fract_y
_atom_site_fract_z
_atom_site_occupancy
La1 0.171 0.829 0.500 1
La2 0.829 0.171 0.500 1
La3 0.500 0.500 0.500 1
Pm1 0.921 0.595 0.759 1
Pm2 0.754 0.754 0.243 1
Pm3 0.079 0.405 0.241 1
Pm4 0.595 0.921 0.759 1
Pm5 0.246 0.246 0.757 1
Pm6 0.405 0.079 0.241 1
Dy1 0.334 0.666 0.000 1
Dy2 0.666 0.334 0.000 1
In1 0.000 0.000 0.000 1
```



(3)
Compound: LaPmDy2In4
Source: Alexandria via LeMat-Bulk
Functional: PBE
Structure: relaxed

## Properties
Total magnetization ... 0.00 μB/f.u.
Space group ... R-3m (166)
Calculated formation energy ... -3.9 eV per formula unit

Geometry as CIF:
```
data_LaPmDy2In4
_chemical_formula_sum 'La1 Pm1 Dy2 In4'
_symmetry_space_group_name_H-M 'P 1'
_symmetry_Int_Tables_number 1
_symmetry_space_group_name_Hall 'P 1'
_cell_length_a 5.416
_cell_length_b 5.416
_cell_length_c 9.402
_cell_angle_alpha 73.26
_cell_angle_beta 73.26
_cell_angle_gamma 60.00
loop_
_atom_site_label
_atom_site_fract_x
_atom_site_fract_y
_atom_site_fract_z
_atom_site_occupancy
La1 0.000 0.000 0.000 1
Pm1 0.500 0.500 0.500 1
Dy1 0.750 0.750 0.750 1
Dy2 0.250 0.250 0.250 1
In1 0.376 0.376 0.871 1
In2 0.874 0.874 0.379 1
In3 0.126 0.126 0.621 1
In4 0.624 0.624 0.129 1
```



(4)
Compound: La2Pm2DyIn5
Source: Alexandria via LeMat-Bulk
Functional: PBE
Structure: relaxed

## Properties
Total magnetization ... 0.00 μB/f.u.
Space group ... P4/mbm (127)
Calculated formation energy ... -3.6 eV per formula unit

Geometry as CIF:
```
data_La2Pm2DyIn5
_chemical_formula_sum 'La4 Pm4 Dy2 In10'
_symmetry_space_group_name_H-M 'P 1'
_symmetry_Int_Tables_number 1
_symmetry_space_group_name_Hall 'P 1'
_cell_length_a 4.693
_cell_length_b 11.189
_cell_length_c 11.189
_cell_angle_alpha 90.00
_cell_angle_beta 90.00
_cell_angle_gamma 90.00
loop_
_atom_site_label
_atom_site_fract_x
_atom_site_fract_y
_atom_site_fract_z
_atom_site_occupancy
La1 0.000 0.677 0.177 1
La2 0.000 0.323 0.823 1
La3 0.000 0.177 0.323 1
La4 0.000 0.823 0.677 1
Pm1 0.000 0.129 0.629 1
Pm2 0.000 0.871 0.371 1
Pm3 0.000 0.629 0.871 1
Pm4 0.000 0.371 0.129 1
Dy1 0.000 0.000 0.000 1
Dy2 0.000 0.500 0.500 1
In1 0.500 0.190 0.059 1
In2 0.500 0.810 0.941 1
In3 0.500 0.059 0.810 1
In4 0.500 0.690 0.441 1
In5 0.500 0.941 0.190 1
In6 0.500 0.310 0.559 1
In7 0.500 0.559 0.690 1
In8 0.500 0.441 0.310 1
In9 0.500 0.500 0.000 1
In10 0.500 0.000 0.500 1
```